No. 1
DFT (GGA-PBEsol) results for a geometry-optimized CaCo2Br structure.

Values from the calculation:
The calculation puts the formation energy (no corrections) at 0.238 eV/atom. The space-group type is Imm2. The energy above the lowest structure with this stoichiometry is 258.4 meV/atom.

abc: 3.4985 5.1620 5.1620
angles: 61.29 70.19 70.19
Closest atoms and distances in Å follow each position.
Positions (direct):
Co  0.2687  0.2313  0.2313  2 Co 2.19
Co  0.9308  0.0692  0.0692  2 Co 2.19
Br  0.5515  0.4485  0.4485  2 Co 2.49
Ca  0.7489  0.7511  0.7511  8 Co 3.02-3.16, 4 Br 3.03-3.09

---

No. 2
DFT (GGA-PBEsol) results for a geometry-optimized CdAs3 structure.

Values from the calculation:
The value obtained for the formation energy is 34 meV per atom. The space-group type is Pmmn. The energy above the lowest structure with this stoichiometry is 0.0 meV/atom.

abc: 4.6855 5.4636 7.8752
angles: 90.00 90.00 90.00
Closest atoms and distances in Å follow each position.
Positions (direct):
Cd  0.0000  0.4327  0.0000  4 As 2.65-2.68
Cd  0.5000  0.5673  0.5000  4 As 2.65-2.68
As  0.0000  0.3423  0.5000  2 As 2.45, 2 Cd 2.65
As  0.5000  0.9101  0.2567  3 As 2.45-2.54, 1 Cd 2.68
As  0.0000  0.0899  0.2433  3 As 2.45-2.54, 1 Cd 2.68
As  0.5000  0.9101  0.7433  3 As 2.45-2.54, 1 Cd 2.68
As  0.0000  0.0899  0.7567  3 As 2.45-2.54, 1 Cd 2.68
As  0.5000  0.6577  0.0000  2 As 2.45, 2 Cd 2.65

---

No. 3
DFT (GGA-PBEsol) results for a geometry-optimized Ba2TaRh structure.

Values from the calculation:
The value obtained for the formation energy is 401 meV per atom. The space-group type is Imm2. The energy above the lowest structure with this stoichiometry is 0.0 meV/atom.

abc: 3.7553 5.6077 6.6598
angles: 114.90 106.38 90.00
Closest atoms and distances in Å follow each position.
Positions (direct):
Rh  0.5516  0.5516  0.1033  2 Ta 2.40
Ta  0.1822  0.6822  0.3644  2 Rh 2.40
Ba  0.9875  0.9875  0.9751  4 Rh 3.45, 2 Ta 3.59, 6 Ba 3.69-3.83
Ba  0.7786  0.2786  0.5572  4 Ta 3.55, 4 Rh 3.65-3.83, 6 Ba 3.69-3.83

---

No. 4
DFT (GGA-PBEsol) results for a geometry-optimized MgAl2Tl structure.

Values from the calculation:
The value obtained for the formation energy is 116 meV per atom. The space-group type is P4mm.

abc: 3.4247 3.4247 7.1168
angles: 90.00 90.00 90.00
Closest atoms and distances in Å follow each position.
Positions (direct):
Al  0.0000  0.0000  0.0354  4 Al 2.79, 4 Tl 3.11
Al  0.5000  0.5000  0.2295  4 Al 2.79, 4 Mg 2.98
Mg  0.0000  0.0000  0.4744  5 Al 2.98-3.12, 4 Tl 3.16
Tl  0.5000  0.5000  0.7607  5 Al 3.11-3.34, 4 Mg 3.16, 4 Tl 3.42

---

no.,magnetic moment (μB/f.u.)
1,2.8
2,0.0
3,0.0
4,0.0